Compound: As3WCl
Source: Alexandria via LeMat-Bulk
Functional: PBE
Structure: optimized geometry

Output
SG: Pm-3m
Offset from the most stable computed form (eV per atom): 0.000
Theoretical density (kg/m3): 6307
DOS at the Fermi energy (states/eV/cell): 4.66
Total DFT energy (no corrections) (eV per atom): -5.44
E_form (uncorrected) (eV/atom): 0.3117

a b c (Å): 4.8898 4.8898 4.8898
angles (deg): 90.00 90.00 90.00
With the nearest neighbours (Å) after each atom.
Positions (direct):
As1 0.0000 0.5000 0.0000  2 W 2.44
As2 0.0000 0.0000 0.5000  2 W 2.44
As3 0.5000 0.0000 0.0000  2 W 2.44
W1 0.0000 0.0000 0.0000  6 As 2.44
Cl1 0.5000 0.5000 0.5000  12 As 3.46